(1)
Entry from Alexandria via LeMat-Bulk: a relaxed Cu5Au crystal (PBE-GGA).

Calculated values
ΔE_f   68 meV per atom
ΔE to the lowest computed polymorph   88 meV per atom

```
Cu5Au
1.0
0.000 3.418 3.418
3.418 0.000 3.418
3.418 3.418 0.000
Cu Au
5 1
direct
0.000 0.000 0.000
0.375 0.375 0.375
0.375 0.375 0.876
0.375 0.876 0.375
0.876 0.375 0.375
0.750 0.750 0.750
```

---

(2)
Entry from Alexandria via LeMat-Bulk: a relaxed B2C crystal (PBE-GGA).

Calculated values
ΔE_f   370 meV per atom
ΔE to the lowest computed polymorph   185 meV per atom

```
B2C
1.0
2.377 0.000 0.000
0.000 2.444 0.000
0.000 0.000 14.085
B C
8 4
direct
0.250 0.000 0.047
0.250 0.000 0.360
0.250 0.000 0.735
0.250 0.500 0.452
0.750 0.000 0.265
0.750 0.000 0.640
0.750 0.000 0.953
0.750 0.500 0.548
0.250 0.500 0.126
0.250 0.500 0.813
0.750 0.500 0.187
0.750 0.500 0.874
```

---

(3)
Entry from Alexandria via LeMat-Bulk: a relaxed Pr5Te5H2 crystal (PBE-GGA).

```
Pr5Te5H2
1.0
7.178 -2.093 0.000
7.178 2.093 0.000
-1.867 0.000 10.992
Pr Te H
5 5 2
direct
0.000 0.000 0.000
0.103 0.103 0.339
0.341 0.341 0.201
0.659 0.659 0.799
0.897 0.897 0.661
0.221 0.221 0.613
0.337 0.337 0.905
0.500 0.500 0.500
0.663 0.663 0.095
0.779 0.779 0.387
0.054 0.054 0.806
0.946 0.946 0.194
```

---

(4)
Entry from Alexandria via LeMat-Bulk: a relaxed MgFe2Cl crystal (PBE-GGA).

Calculated values
Formation energy from raw total energies   1.378 eV per formula unit
ΔE to the lowest computed polymorph   419 meV per atom

```
MgFe2Cl
1.0
1.553 -2.442 0.000
1.553 2.442 0.000
0.000 0.000 8.335
Mg Fe Cl
1 2 1
direct
0.000 0.000 0.000
0.500 0.500 0.267
0.500 0.500 0.733
0.000 0.000 0.500
```

---

(5)
Entry from Alexandria via LeMat-Bulk: a relaxed PuNp2S4 crystal (PBE-GGA).

Calculated values
Formation energy from raw total energies   -10.006 eV per formula unit

```
PuNp2S4
1.0
7.194 -2.009 0.000
7.194 2.009 0.000
-3.034 0.000 6.206
Pu Np S
1 2 4
direct
0.000 0.000 0.000
0.275 0.275 0.277
0.725 0.725 0.723
0.129 0.129 0.442
0.359 0.359 0.990
0.641 0.641 0.010
0.871 0.871 0.558
```

---

These records have total energy values of -3.89, -7.16, -4.97, -4.75, -9.53 eV/atom, in the order they appear.